[1]
The following is a DFT calculation (GGA-PBE) of a relaxed structure of Ca4In12Pb.

The energy relative to the elements is -25.4 kJ/mol of atoms. For the calculated total energy, the calculation gives -49.05 eV per formula unit. The calculation puts the density of states at the Fermi level at 0.233 states/eV/atom. The calculated volume comes out at 959.0 Å³/cell.

It has space group Im-3m (No. 229), with a = 9.8616 Å, b = 9.8616 Å, c = 9.8616 Å, α = 90.00°, β = 90.00° and γ = 90.00°. The asymmetric unit holds Ca at (0.2500, 0.2500, 0.2500), In at (0.0000, 0.0000, 0.3113), In at (0.0000, 0.2500, 0.5000) and Pb at (0.0000, 0.0000, 0.0000).



[2]
The following is a DFT calculation (GGA-PBE) of a relaxed structure of ScNiAs2.

The energy relative to the elements is -20.0 kJ/mol of atoms. For the calculated total energy, the calculation gives -22.24 eV per formula unit. The calculation puts the density of states at the Fermi level at 0.514 states/eV/atom. The calculated volume comes out at 270.7 Å³/cell.

It has space group F-43m (No. 216), with a = 6.4688 Å, b = 6.4688 Å, c = 6.4688 Å, α = 90.00°, β = 90.00° and γ = 90.00°. The asymmetric unit holds Sc at (0.0000, 0.0000, 0.0000), Ni at (0.2500, 0.2500, 0.2500), As at (0.0000, 0.0000, 0.5000) and As at (0.2500, 0.2500, 0.7500).



[3]
The following is a DFT calculation (GGA-PBE) of a relaxed structure of PaFeCo.

The energy relative to the elements is -3.8 kJ/mol of atoms. For the calculated total energy, the calculation gives -25.18 eV per formula unit. For the relative energy among the computed polymorphs, the calculation gives 0.2410 eV/atom. The calculation puts the density of states at the Fermi level at 1.136 states/eV/atom. The calculated volume comes out at 92.9 Å³/cell.

It has space group I4mm (No. 107), with a = 3.5021 Å, b = 3.5021 Å, c = 7.5759 Å, α = 90.00°, β = 90.00° and γ = 90.00°. The asymmetric unit holds Pa at (0.0000, 0.0000, 0.0000), Fe at (0.0000, 0.0000, 0.2983) and Co at (0.0000, 0.0000, 0.6782).



[4]
The following is a DFT calculation (GGA-PBE) of a relaxed structure of ZrHg2Sb.

For the formation energy from raw total energies, the calculation gives -0.0328 eV/atom. For the calculated total energy, the calculation gives -13.41 eV per formula unit. The calculation puts the density of states at the Fermi level at 0.559 states/eV/atom. The calculated volume comes out at 187.0 Å³/cell.

It has space group Cmmm (No. 65), with a = 5.9305 Å, b = 9.7481 Å, c = 3.2346 Å, α = 90.00°, β = 90.00° and γ = 90.00°. The asymmetric unit holds Zr at (0.0000, 0.0000, 0.0000), Hg at (0.2500, 0.2500, 0.5000) and Sb at (0.0000, 0.5000, 0.0000).



[5]
The following is a DFT calculation (GGA-PBE) of a relaxed structure of Ca2YSc.

The energy relative to the elements is 20.2 kJ/mol of atoms. For the calculated total energy, the calculation gives -15.96 eV per formula unit. For the relative energy among the computed polymorphs, the calculation gives 0.1207 eV/atom. The calculation puts the density of states at the Fermi level at 1.704 states/eV/atom. The calculated volume comes out at 534.2 Å³/cell.

It has space group F-43m (No. 216), with a = 8.1142 Å, b = 8.1142 Å, c = 8.1142 Å, α = 90.00°, β = 90.00° and γ = 90.00°. The asymmetric unit holds Ca at (0.0000, 0.0000, 0.0000), Ca at (0.2500, 0.2500, 0.2500), Y at (0.0000, 0.0000, 0.5000) and Sc at (0.2500, 0.2500, 0.7500).



[6]
The following is a DFT calculation (GGA-PBE) of a relaxed structure of Si2AsP.

For the formation energy from raw total energies, the calculation gives 0.1810 eV/atom. For the calculated total energy, the calculation gives -20.18 eV per formula unit. For the relative energy among the computed polymorphs, the calculation gives 0.1060 eV/atom. The calculation puts the density of states at the Fermi level at 0.205 states/eV/atom. The calculated volume comes out at 75.1 Å³/cell.

It has space group Pm (No. 6), with a = 2.5625 Å, b = 4.8410 Å, c = 6.0555 Å, α = 90.00°, β = 90.10° and γ = 90.00°. The asymmetric unit holds Si at (0.0000, 0.0000, 0.0000), Si at (0.0000, 0.5000, 0.4692), As at (0.9994, 0.0000, 0.5988) and P at (0.0001, 0.5000, 0.0893).



[7]
The following is a DFT calculation (GGA-PBE) of a relaxed structure of LaSc2InAu4.

The energy relative to the elements is -66.4 kJ/mol of atoms. For the calculated total energy, the calculation gives -38.94 eV per formula unit. The calculation puts the density of states at the Fermi level at 0.527 states/eV/atom. The calculated volume comes out at 537.7 Å³/cell.

It has space group R-3m (No. 166, hexagonal axes), with a = 4.7252 Å, b = 4.7252 Å, c = 27.8098 Å, α = 90.00°, β = 90.00° and γ = 120.00°. The asymmetric unit holds La at (0.0000, 0.0000, 0.0000), Sc at (0.0000, 0.0000, 0.2353), In at (0.0000, 0.0000, 0.5000), Au at (0.0000, 0.0000, 0.1200) and Au at (0.0000, 0.0000, 0.3949).



[8]
The following is a DFT calculation (GGA-PBE) of a relaxed structure of PmPr2Ho3.

The energy relative to the elements is 11.7 kJ/mol of atoms. For the calculated total energy, the calculation gives -27.31 eV per formula unit. For the relative energy among the computed polymorphs, the calculation gives 0.0228 eV/atom. The calculation puts the density of states at the Fermi level at 1.518 states/eV/atom. The calculated volume comes out at 812.8 Å³/cell.

It has space group C2/m (No. 12), with a = 23.5148 Å, b = 3.5178 Å, c = 10.3661 Å, α = 90.00°, β = 108.59° and γ = 90.00°. The asymmetric unit holds Pm at (0.1884, 0.0000, 0.0357), Pr at (0.0669, 0.5000, 0.1367), Pr at (0.1900, 0.0000, 0.3720), Ho at (0.0583, 0.0000, 0.4464), Ho at (0.0695, 0.5000, 0.7602) and Ho at (0.1943, 0.0000, 0.7146).



[9]
The following is a DFT calculation (GGA-PBE) of a relaxed structure of Ca3SbPd.

For the formation energy from raw total energies, the calculation gives -0.5419 eV/atom. For the calculated total energy, the calculation gives -18.03 eV per formula unit. For the relative energy among the computed polymorphs, the calculation gives 0.0000 eV/atom. The calculation puts the density of states at the Fermi level at 0.723 states/eV/atom. The calculated volume comes out at 160.4 Å³/cell.

It has space group Pm-3m (No. 221), with a = 5.4333 Å, b = 5.4333 Å, c = 5.4333 Å, α = 90.00°, β = 90.00° and γ = 90.00°. The asymmetric unit holds Ca at (0.0000, 0.0000, 0.5000), Sb at (0.5000, 0.5000, 0.5000) and Pd at (0.0000, 0.0000, 0.0000).



[10]
The following is a DFT calculation (GGA-PBE) of a relaxed structure of Cu6SiGe.

For the formation energy from raw total energies, the calculation gives -0.0190 eV/atom. For the calculated total energy, the calculation gives -34.77 eV per formula unit. The calculation puts the density of states at the Fermi level at 0.238 states/eV/atom. The calculated volume comes out at 99.9 Å³/cell.

It has space group P4/mmm (No. 123), with a = 3.6833 Å, b = 3.6833 Å, c = 7.3658 Å, α = 90.00°, β = 90.00° and γ = 90.00°. The asymmetric unit holds Cu at (0.0000, 0.0000, 0.0000), Cu at (0.0000, 0.0000, 0.5000), Cu at (0.0000, 0.5000, 0.2414), Si at (0.5000, 0.5000, 0.0000) and Ge at (0.5000, 0.5000, 0.5000).



[11]
The following is a DFT calculation (GGA-PBE) of a relaxed structure of Rb3BeCr.

The energy relative to the elements is 108.1 kJ/mol of atoms. For the calculated total energy, the calculation gives -10.65 eV per formula unit. For the relative energy among the computed polymorphs, the calculation gives 0.0000 eV/atom. The calculation puts the density of states at the Fermi level at 1.058 states/eV/atom. The calculated volume comes out at 288.3 Å³/cell.

It has space group Pm-3m (No. 221), with a = 6.6059 Å, b = 6.6059 Å, c = 6.6059 Å, α = 90.00°, β = 90.00° and γ = 90.00°. The asymmetric unit holds Rb at (0.0000, 0.0000, 0.5000), Be at (0.0000, 0.0000, 0.0000) and Cr at (0.5000, 0.5000, 0.5000).



[12]
The following is a DFT calculation (GGA-PBE) of a relaxed structure of CeSiAs.

For the formation energy from raw total energies, the calculation gives -0.4416 eV/atom. For the calculated total energy, the calculation gives -17.33 eV per formula unit. The calculation puts the density of states at the Fermi level at 1.379 states/eV/atom. The calculated volume comes out at 295.3 Å³/cell.

It has space group I4/mmm (No. 139), with a = 4.0017 Å, b = 4.0017 Å, c = 18.4412 Å, α = 90.00°, β = 90.00° and γ = 90.00°. The asymmetric unit holds Ce at (0.0000, 0.0000, 0.1400), Si at (0.0000, 0.0000, 0.4349) and As at (0.0000, 0.0000, 0.3052).



[13]
The following is a DFT calculation (GGA-PBE) of a relaxed structure of Zn2CdIr.

The energy relative to the elements is -4.1 kJ/mol of atoms. For the calculated total energy, the calculation gives -12.49 eV per formula unit. The calculation puts the density of states at the Fermi level at 0.447 states/eV/atom. The calculated volume comes out at 64.2 Å³/cell.

It has space group Pmmm (No. 47), with a = 2.9704 Å, b = 3.6757 Å, c = 5.8830 Å, α = 90.00°, β = 90.00° and γ = 90.00°. The asymmetric unit holds Zn at (0.0000, 0.0000, 0.2139), Cd at (0.5000, 0.5000, 0.5000) and Ir at (0.5000, 0.5000, 0.0000).